Entry 1:
Here is a geometry-optimized SrLi2Al2Zn2 structure from Alexandria. Energies are from PBE.

abc: 4.521 4.502 8.478
angles: 106.49 90.00 120.14
Positions (direct):
Zn 0.244 0.487 0.739
Al 0.442 0.884 0.317
Zn 0.756 0.513 0.261
Al 0.558 0.116 0.683
Sr 0.000 0.000 0.000
Li 0.144 0.289 0.420
Li 0.856 0.711 0.580

- Theoretical density: 3.4 g/cm³
- Crystal system: monoclinic
- Calculated formation energy: -206 meV per atom
- DFT total energy: -16.984 eV/cell
- SG: C2/m
- Magnetization: 0.00 μB/cell

---

Entry 2:
Here is a geometry-optimized Sr2LiAlZn6 structure from Alexandria. Energies are from PBE.

abc: 6.823 6.819 6.853
angles: 59.90 59.92 90.89
Positions (direct):
Sr 0.703 0.297 0.500
Zn 0.799 0.799 0.888
Al 0.000 0.000 0.000
Zn 0.261 0.738 0.000
Li 0.500 0.500 0.000
Zn 0.739 0.262 0.000
Zn 0.799 0.799 0.513
Sr 0.297 0.703 0.500
Zn 0.201 0.201 0.112
Zn 0.201 0.201 0.487

- Theoretical density: 4.5 g/cm³
- Crystal system: monoclinic
- Calculated formation energy: -61 meV per atom
- DFT total energy: -17.275 eV/cell
- SG: C2/m
- Magnetization: 0.00 μB/cell

---

What volume values result from the calculations? In sequence: 20.14; 22.30 Å³ per atom.